# MnCdFe2 (PBEsol, optimized geometry)
data_MnCdFe2
_chemical_formula_sum 'Mn1 Cd1 Fe2'
_symmetry_space_group_name_H-M 'P 1'
_symmetry_Int_Tables_number 1
_symmetry_space_group_name_Hall 'P 1'
_cell_length_a 4.233
_cell_length_b 4.233
_cell_length_c 4.233
_cell_angle_alpha 60.00
_cell_angle_beta 60.00
_cell_angle_gamma 60.00
loop_
_atom_site_label
_atom_site_type_symbol
_atom_site_fract_x
_atom_site_fract_y
_atom_site_fract_z
Mn1 Mn 0.250 0.250 0.250
Cd1 Cd 0.500 0.500 0.500
Fe1 Fe 0.750 0.750 0.750
Fe2 Fe 0.000 0.000 0.000
# ΔH_f (0 K) ... 0.42 eV per atom
# Calculated volume ... 53.6 Å³ per cell
# Space-group type ... F-43m

=====

# CoSb2Rh (PBEsol, optimized geometry)
data_CoSb2Rh
_chemical_formula_sum 'Co2 Sb4 Rh2'
_symmetry_space_group_name_H-M 'P 1'
_symmetry_Int_Tables_number 1
_symmetry_space_group_name_Hall 'P 1'
_cell_length_a 4.346
_cell_length_b 4.346
_cell_length_c 8.596
_cell_angle_alpha 104.64
_cell_angle_beta 104.64
_cell_angle_gamma 90.00
loop_
_atom_site_label
_atom_site_type_symbol
_atom_site_fract_x
_atom_site_fract_y
_atom_site_fract_z
Sb1 Sb 0.386 0.875 0.250
Sb2 Sb 0.864 0.375 0.250
Sb3 Sb 0.125 0.136 0.750
Sb4 Sb 0.625 0.614 0.750
Rh1 Rh 0.250 0.750 0.500
Rh2 Rh 0.000 0.000 0.000
Co1 Co 0.500 0.500 0.000
Co2 Co 0.750 0.250 0.500
# ΔE_f (raw) ... 120 meV/atom
# Calculated volume ... 151.6 Å³ per cell
# Space-group type ... I-42d

=====

# Bi3Se4 (PBEsol, optimized geometry)
data_Bi3Se4
_chemical_formula_sum 'Bi3 Se4'
_symmetry_space_group_name_H-M 'P 1'
_symmetry_Int_Tables_number 1
_symmetry_space_group_name_Hall 'P 1'
_cell_length_a 4.305
_cell_length_b 4.305
_cell_length_c 12.543
_cell_angle_alpha 80.12
_cell_angle_beta 80.12
_cell_angle_gamma 60.00
loop_
_atom_site_label
_atom_site_type_symbol
_atom_site_fract_x
_atom_site_fract_y
_atom_site_fract_z
Se1 Se 0.289 0.289 0.132
Se2 Se 0.134 0.134 0.598
Se3 Se 0.866 0.866 0.402
Se4 Se 0.711 0.711 0.868
Bi1 Bi 0.571 0.571 0.287
Bi2 Bi 0.000 0.000 0.000
Bi3 Bi 0.429 0.429 0.713
# ΔE_f (raw) ... -318 meV/atom
# Calculated volume ... 197.3 Å³ per cell
# Space-group type ... R-3m